# 1
Crystalline Cs2HfCo at its relaxed geometry, computed with GGA-PBEsol.

a = 5.719 Å, b = 5.719 Å, c = 5.719 Å
α = 60.00°, β = 60.00°, γ = 60.00°
Positions (direct):
1 Cs 0.250 0.250 0.250
2 Cs 0.750 0.750 0.750
3 Hf 0.000 0.000 0.000
4 Co 0.500 0.500 0.500

N(E_F) (states/eV/f.u.): 8.3
Symmetry: Fm-3m, No. 225
ΔH_f (0 K) (eV/atom): 1.95


# 2
Crystalline Cs3CoI5 at its relaxed geometry, computed with GGA-PBEsol.

a = 9.756 Å, b = 11.461 Å, c = 14.466 Å
α = 90.00°, β = 90.00°, γ = 90.00°
Positions (direct):
1 Cs 0.082 0.013 0.172
2 Cs 0.082 0.487 0.172
3 Cs 0.084 0.250 0.454
4 Cs 0.416 0.750 0.954
5 Cs 0.418 0.513 0.672
6 Cs 0.418 0.987 0.672
7 Cs 0.582 0.013 0.328
8 Cs 0.582 0.487 0.328
9 Cs 0.584 0.250 0.046
10 Cs 0.916 0.750 0.546
11 Cs 0.918 0.513 0.828
12 Cs 0.918 0.987 0.828
13 Co 0.186 0.250 0.894
14 Co 0.314 0.750 0.394
15 Co 0.686 0.250 0.606
16 Co 0.814 0.750 0.106
17 I 0.031 0.750 0.010
18 I 0.138 0.250 0.722
19 I 0.169 0.750 0.740
20 I 0.192 0.562 0.435
21 I 0.192 0.938 0.435
22 I 0.308 0.062 0.935
23 I 0.308 0.438 0.935
24 I 0.331 0.250 0.240
25 I 0.362 0.750 0.222
26 I 0.469 0.250 0.510
27 I 0.531 0.750 0.490
28 I 0.638 0.250 0.778
29 I 0.669 0.750 0.760
30 I 0.692 0.562 0.065
31 I 0.692 0.938 0.065
32 I 0.808 0.062 0.565
33 I 0.808 0.438 0.565
34 I 0.831 0.250 0.260
35 I 0.862 0.750 0.278
36 I 0.969 0.250 0.990

Formation energy from raw total energies (eV/atom): -1.0276
Symmetry: Pnma, No. 62


# 3
Crystalline Cs2Pr10Co2I17 at its relaxed geometry, computed with GGA-PBEsol.

a = 11.474 Å, b = 11.474 Å, c = 9.752 Å
α = 93.35°, β = 93.35°, γ = 108.25°
Positions (direct):
1 Cs 0.170 0.830 0.000
2 Cs 0.830 0.170 0.000
3 Pr 0.172 0.172 0.442
4 Pr 0.206 0.509 0.571
5 Pr 0.294 0.294 0.815
6 Pr 0.439 0.439 0.324
7 Pr 0.491 0.794 0.429
8 Pr 0.509 0.206 0.571
9 Pr 0.561 0.561 0.676
10 Pr 0.706 0.706 0.185
11 Pr 0.794 0.491 0.429
12 Pr 0.828 0.828 0.558
13 Co 0.357 0.357 0.569
14 Co 0.643 0.643 0.431
15 I 0.032 0.692 0.583
16 I 0.060 0.060 0.719
17 I 0.113 0.450 0.864
18 I 0.214 0.214 0.128
19 I 0.251 0.599 0.268
20 I 0.308 0.968 0.417
21 I 0.401 0.749 0.732
22 I 0.450 0.113 0.864
23 I 0.500 0.500 0.000
24 I 0.550 0.887 0.136
25 I 0.599 0.251 0.268
26 I 0.692 0.032 0.583
27 I 0.749 0.401 0.732
28 I 0.786 0.786 0.872
29 I 0.887 0.550 0.136
30 I 0.940 0.940 0.281
31 I 0.968 0.308 0.417

Formation energy from raw total energies (eV/atom): -1.2135
N(E_F) (states/eV/f.u.): 7.9
Symmetry: C2/m, No. 12


# 4
Crystalline CsCoTeI2 at its relaxed geometry, computed with GGA-PBEsol.

a = 5.644 Å, b = 5.644 Å, c = 4.857 Å
α = 90.00°, β = 90.00°, γ = 90.00°
Positions (direct):
1 Cs 0.000 0.000 0.000
2 Co 0.500 0.500 0.500
3 Te 0.500 0.500 0.000
4 I 0.000 0.500 0.500
5 I 0.500 0.000 0.500

Formation energy from raw total energies (eV/atom): -0.3559
N(E_F) (states/eV/f.u.): 5.7
Symmetry: P4/mmm, No. 123


# 5
Crystalline Cs2TiCoI at its relaxed geometry, computed with GGA-PBEsol.

a = 6.736 Å, b = 6.736 Å, c = 4.237 Å
α = 90.00°, β = 90.00°, γ = 90.00°
Positions (direct):
1 Cs 0.000 0.500 0.000
2 Cs 0.500 0.000 0.000
3 Ti 0.000 0.000 0.500
4 Co 0.000 0.000 0.000
5 I 0.500 0.500 0.500

Formation energy from raw total energies (eV/atom): 0.3206
N(E_F) (states/eV/f.u.): 4.3
Symmetry: P4/mmm, No. 123


# 6
Crystalline CsInCo3 at its relaxed geometry, computed with GGA-PBEsol.

a = 4.671 Å, b = 4.671 Å, c = 4.671 Å
α = 90.00°, β = 90.00°, γ = 90.00°
Positions (direct):
1 Cs 0.000 0.000 0.000
2 In 0.500 0.500 0.500
3 Co 0.000 0.000 0.500
4 Co 0.000 0.500 0.000
5 Co 0.500 0.000 0.000

N(E_F) (states/eV/f.u.): 7.7
Symmetry: Pm-3m, No. 221
ΔH_f (0 K) (eV/atom): 2.25